Entry 1:
Entry from the Open Quantum Materials Database: a geometry-optimized BaSrAg2P2 structure (PBE-GGA).

Cell: 4.4814 4.4814 8.6670 Å, 90.00 90.00 120.00°
Fractional positions:
Sr  0.0000  0.0000  0.0000
Ag  0.6667  0.3333  0.7662
Ag  0.3333  0.6667  0.2338
Ba  0.0000  0.0000  0.5000
P  0.6667  0.3333  0.2388
P  0.3333  0.6667  0.7612

The space group is P-3m1 (164).

=====

Entry 2:
Entry from the Open Quantum Materials Database: a geometry-optimized BaAgPb structure (PBE-GGA).

Cell: 5.4901 5.4901 5.4901 Å, 60.00 60.00 60.00°
Fractional positions:
Ag  0.7500  0.7500  0.7500
Pb  0.2500  0.2500  0.2500
Ba  0.5000  0.5000  0.5000

The space group is F-43m (216).

=====

Entry 3:
Entry from the Open Quantum Materials Database: a geometry-optimized Ba2AgPb structure (PBE-GGA).

Cell: 5.7591 5.7591 5.7591 Å, 60.00 60.00 60.00°
Fractional positions:
Ag  0.7500  0.7500  0.7500
Ba  0.5000  0.5000  0.5000
Ba  0.2500  0.2500  0.2500
Pb  0.0000  0.0000  0.0000

The space group is F-43m (216).

=====

Entry 4:
Entry from the Open Quantum Materials Database: a geometry-optimized BaAgPb structure (PBE-GGA).

Cell: 6.6011 6.6011 6.6011 Å, 133.68 102.65 95.19°
Fractional positions:
Pb  0.8702  0.5685  0.3017
Pb  0.2667  0.5685  0.6983
Ag  0.6883  0.9004  0.7879
Ag  0.1125  0.9004  0.2121
Ba  0.6994  0.1994  0.5000
Ba  0.2721  0.2721  0.0000

The space group is Imm2 (44).

=====

Per-record final energy, eV per atom: -4.09, -2.58, -2.76, -3.24
Per-record calculated volume, Å³/cell: 150.7, 117.0, 135.1, 190.7